1.
Here is an optimized crystal structure of PaVTcSn from the Alexandria database. Energies are from GGA-PBE.

Values from the calculation:
Fermi-level density of states	0.53	states/eV per atom
energy of formation	-0.133	eV per atom
total magnetization	2.77	μB per formula unit

a = 6.728 Å, b = 6.728 Å, c = 6.728 Å
α = 90.00°, β = 90.00°, γ = 90.00°
Element x y z (fractional)
Pa  0.000  0.000  0.000
Pa  0.000  0.500  0.500
Pa  0.500  0.000  0.500
Pa  0.500  0.500  0.000
V  0.250  0.250  0.750
V  0.250  0.750  0.250
V  0.750  0.250  0.250
V  0.750  0.750  0.750
Tc  0.250  0.250  0.250
Tc  0.250  0.750  0.750
Tc  0.750  0.250  0.750
Tc  0.750  0.750  0.250
Sn  0.000  0.000  0.500
Sn  0.000  0.500  0.000
Sn  0.500  0.000  0.000
Sn  0.500  0.500  0.500



2.
Here is an optimized crystal structure of Sr3CaW from the Alexandria database. Energies are from GGA-PBE.

Values from the calculation:
Fermi-level density of states	0.45	states/eV per atom
E above lowest polymorph	0.000	eV/atom
energy of formation	0.898	eV per atom
total magnetization	0.04	μB per formula unit

a = 6.016 Å, b = 6.016 Å, c = 6.016 Å
α = 90.00°, β = 90.00°, γ = 90.00°
Element x y z (fractional)
Sr  0.000  0.000  0.500
Sr  0.000  0.500  0.000
Sr  0.500  0.000  0.000
Ca  0.500  0.500  0.500
W  0.000  0.000  0.000



3.
Here is an optimized crystal structure of KLaAu2 from the Alexandria database. Energies are from GGA-PBE.

Values from the calculation:
Fermi-level density of states	0.52	states/eV per atom
energy of formation	-0.486	eV per atom
total magnetization	0.00	μB per formula unit

a = 7.572 Å, b = 4.362 Å, c = 8.527 Å
α = 90.00°, β = 107.18°, γ = 90.00°
Element x y z (fractional)
K  0.000  0.000  0.000
K  0.500  0.500  0.000
La  0.000  0.500  0.500
La  0.500  0.000  0.500
Au  0.237  0.000  0.711
Au  0.263  0.500  0.289
Au  0.737  0.500  0.711
Au  0.763  0.000  0.289